No. 1
ScCu2P | GGA-PBE | optimized geometry

Calculated values
The energy of formation comes out at -0.46 eV/atom. The value obtained for the magnetization is 0.000 μB per formula unit. As for the total energy: -5.439 eV per atom.

Cell: 3.9641 3.9641 13.2585 Å, 90.00 90.00 120.00°
Atoms (fractional coordinates):
Sc (0.0000, 0.0000, 0.0000)
Sc (0.3333, 0.6667, 0.6667)
Sc (0.6667, 0.3333, 0.3333)
Cu (0.0000, 0.0000, 0.2205)
Cu (0.0000, 0.0000, 0.4810)
Cu (0.3333, 0.6667, 0.1477)
Cu (0.3333, 0.6667, 0.8871)
Cu (0.6667, 0.3333, 0.5538)
Cu (0.6667, 0.3333, 0.8143)
P (0.0000, 0.0000, 0.7879)
P (0.3333, 0.6667, 0.4546)
P (0.6667, 0.3333, 0.1213)

No. 2
ScCu2P2 | GGA-PBE | optimized geometry

Calculated values
The energy of formation comes out at -0.24 eV/atom. The value obtained for the magnetization is 0.000 μB per formula unit. As for the total energy: -5.305 eV per atom.

Cell: 7.0111 7.0111 2.9534 Å, 90.00 90.00 90.00°
Atoms (fractional coordinates):
Sc (0.0000, 0.0000, 0.0000)
Sc (0.5000, 0.5000, 0.0000)
Cu (0.1193, 0.3807, 0.0000)
Cu (0.3807, 0.8807, 0.0000)
Cu (0.6193, 0.1193, 0.0000)
Cu (0.8807, 0.6193, 0.0000)
P (0.1866, 0.6866, 0.5000)
P (0.3134, 0.1866, 0.5000)
P (0.6866, 0.8134, 0.5000)
P (0.8134, 0.3134, 0.5000)

No. 3
ScCuP | GGA-PBE | optimized geometry

Calculated values
The energy of formation comes out at -0.35 eV/atom. The value obtained for the magnetization is 0.000 μB per formula unit. As for the total energy: -5.625 eV per atom.

Cell: 6.0690 6.0690 6.0690 Å, 90.00 90.00 90.00°
Atoms (fractional coordinates):
Sc (0.0000, 0.0000, 0.0000)
Sc (0.0000, 0.5000, 0.5000)
Sc (0.5000, 0.0000, 0.5000)
Sc (0.5000, 0.5000, 0.0000)
Cu (0.2500, 0.2500, 0.7500)
Cu (0.2500, 0.7500, 0.2500)
Cu (0.7500, 0.2500, 0.2500)
Cu (0.7500, 0.7500, 0.7500)
P (0.2500, 0.2500, 0.2500)
P (0.2500, 0.7500, 0.7500)
P (0.7500, 0.2500, 0.7500)
P (0.7500, 0.7500, 0.2500)

No. 4
ScCu2P | GGA-PBE | optimized geometry

Calculated values
The energy of formation comes out at -0.31 eV/atom. The value obtained for the magnetization is 0.000 μB per formula unit. As for the total energy: -5.297 eV per atom.

Cell: 3.6439 3.6439 19.0772 Å, 90.00 90.00 90.00°
Atoms (fractional coordinates):
Sc (0.0000, 0.0000, 0.0000)
Sc (0.0000, 0.5000, 0.2500)
Sc (0.5000, 0.0000, 0.7500)
Sc (0.5000, 0.5000, 0.5000)
Cu (0.2309, 0.2500, 0.6250)
Cu (0.2500, 0.7309, 0.8750)
Cu (0.2500, 0.7691, 0.3750)
Cu (0.2691, 0.2500, 0.1250)
Cu (0.7309, 0.7500, 0.1250)
Cu (0.7500, 0.2309, 0.3750)
Cu (0.7500, 0.2691, 0.8750)
Cu (0.7691, 0.7500, 0.6250)
P (0.0000, 0.0000, 0.5000)
P (0.0000, 0.5000, 0.7500)
P (0.5000, 0.0000, 0.2500)
P (0.5000, 0.5000, 0.0000)

No. 5
ScCu4P2 | GGA-PBE | optimized geometry

Calculated values
The energy of formation comes out at -0.49 eV/atom. The value obtained for the magnetization is 0.000 μB per formula unit. As for the total energy: -5.277 eV per atom.

Cell: 7.1543 7.1543 3.7065 Å, 90.00 90.00 90.00°
Atoms (fractional coordinates):
Sc (0.0000, 0.0000, 0.0000)
Sc (0.5000, 0.5000, 0.5000)
Cu (0.0865, 0.3343, 0.5000)
Cu (0.1657, 0.5865, 0.0000)
Cu (0.3343, 0.0865, 0.5000)
Cu (0.4135, 0.8343, 0.0000)
Cu (0.5865, 0.1657, 0.0000)
Cu (0.6657, 0.9135, 0.5000)
Cu (0.8343, 0.4135, 0.0000)
Cu (0.9135, 0.6657, 0.5000)
P (0.2079, 0.7921, 0.5000)
P (0.2921, 0.2921, 0.0000)
P (0.7079, 0.7079, 0.0000)
P (0.7921, 0.2079, 0.5000)

No. 6
Sc4CuP | GGA-PBE | optimized geometry

Calculated values
The energy of formation comes out at 0.43 eV/atom. The value obtained for the magnetization is 0.004 μB per formula unit. As for the total energy: -5.372 eV per atom.

Cell: 5.6137 5.6137 5.6137 Å, 60.00 60.00 60.00°
Atoms (fractional coordinates):
Sc (0.1253, 0.1253, 0.1253)
Sc (0.1253, 0.1253, 0.6240)
Sc (0.1253, 0.6240, 0.1253)
Sc (0.6240, 0.1253, 0.1253)
Cu (0.7500, 0.7500, 0.7500)
P (0.5000, 0.5000, 0.5000)

No. 7
ScCuP | GGA-PBE | optimized geometry

Calculated values
The energy of formation comes out at -0.64 eV/atom. The value obtained for the magnetization is 0.000 μB per formula unit. As for the total energy: -5.919 eV per atom.

Cell: 5.8721 5.8721 5.8721 Å, 90.00 90.00 90.00°
Atoms (fractional coordinates):
Sc (0.0000, 0.0000, 0.0000)
Sc (0.0000, 0.5000, 0.5000)
Sc (0.5000, 0.0000, 0.5000)
Sc (0.5000, 0.5000, 0.0000)
Cu (0.0000, 0.0000, 0.5000)
Cu (0.0000, 0.5000, 0.0000)
Cu (0.5000, 0.0000, 0.0000)
Cu (0.5000, 0.5000, 0.5000)
P (0.2500, 0.2500, 0.7500)
P (0.2500, 0.7500, 0.2500)
P (0.7500, 0.2500, 0.2500)
P (0.7500, 0.7500, 0.7500)

No. 8
ScCu4P | GGA-PBE | optimized geometry

Calculated values
The energy of formation comes out at -0.10 eV/atom. The value obtained for the magnetization is 0.000 μB per formula unit. As for the total energy: -4.790 eV per atom.

Cell: 4.9293 4.9293 4.9293 Å, 60.00 60.00 60.00°
Atoms (fractional coordinates):
Sc (0.0000, 0.0000, 0.0000)
Cu (0.1255, 0.6248, 0.6248)
Cu (0.6248, 0.1255, 0.6248)
Cu (0.6248, 0.6248, 0.1255)
Cu (0.6248, 0.6248, 0.6248)
P (0.2500, 0.2500, 0.2500)